w) Compound: Ho4Er5Tm2
Source: Alexandria
Functional: GGA-PBE
Structure: relaxed

Structure (POSCAR):
```
Ho4Er5Tm2
1.0
-1.485 2.887 1.127
-5.277 -4.623 4.888
7.473 -1.715 9.006
Ho Er Tm
4 5 2
Direct
0.676 0.528 0.353
0.045 0.640 0.091
0.324 0.472 0.647
0.955 0.360 0.909
0.141 0.881 0.281
0.859 0.119 0.719
0.232 0.175 0.464
0.500 0.000 0.000
0.768 0.825 0.536
0.908 0.740 0.817
0.092 0.260 0.183
```

Summary:
Volume in Å³ per atom: 31.0


x) Compound: Ho4Er5Tm2
Source: Alexandria
Functional: GGA-PBE
Structure: relaxed

Structure (POSCAR):
```
Ho4Er5Tm2
1.0
4.360 -0.916 -2.158
-1.707 5.816 -0.246
-5.418 2.234 16.490
Ho Er Tm
4 5 2
Direct
0.320 0.455 0.636
0.955 0.364 0.909
0.680 0.545 0.364
0.045 0.636 0.091
0.865 0.091 0.727
0.135 0.909 0.273
0.774 0.819 0.546
0.500 0.000 0.000
0.226 0.181 0.454
0.409 0.728 0.818
0.591 0.272 0.182
```

Summary:
Volume in Å³ per atom: 30.3


What should be chosen as the most stable of them? Choose x).